Computed, not measured: a relaxed ErOsF crystal at the PBE-GGA level of DFT.

- Magnetization: 0.000 Bohr magnetons per cell
- Raw formation energy: -1.62 eV/atom
- DOS at the Fermi energy: 0.28 states/eV per atom
- Uncorrected energy: -45.034 eV/cell
- Symmetry: P4/nmm (129)

Unit cell a=3.0422 b=3.0422 c=9.6862 alpha=90.00 beta=90.00 gamma=90.00
With the nearest neighbours (Å) after each atom.
Sites, in units of the cell vectors:
1 Os 0.0000 0.5000 0.5798  4 Os 2.65
2 Os 0.5000 0.0000 0.4202  4 Os 2.65
3 Er 0.0000 0.5000 0.2000  5 F 2.47-2.66
4 Er 0.5000 0.0000 0.8000  5 F 2.47-2.66
5 F 0.5000 0.0000 0.0747  5 Er 2.47-2.66, 4 F 2.59
6 F 0.0000 0.5000 0.9253  5 Er 2.47-2.66, 4 F 2.59